1.
A plane-wave DFT calculation with GGA-PBEsol was carried out for a geometry-optimized Li2NdIn structure.

Results
* total moment: 0.00 μB per formula unit
* calculated total energy: -3.36 eV per atom
* calculated volume: 20.59 A^3/atom
* formation enthalpy at 0 K: -33 kJ per mole of atoms

abc: 4.8833 4.8833 4.8833
angles: 60.00 60.00 60.00
With the nearest neighbours (Å) after each atom.
Sites, in units of the cell vectors:
In (0.5000, 0.5000, 0.5000)  8 Li 2.99
Nd (0.0000, 0.0000, 0.0000)  8 Li 2.99
Li (0.2500, 0.2500, 0.2500)  4 In 2.99, 4 Nd 2.99
Li (0.7500, 0.7500, 0.7500)  4 Nd 2.99, 4 In 2.99

***

2.
A plane-wave DFT calculation with GGA-PBEsol was carried out for a geometry-optimized Tl3Cd5 structure.

Results
* total moment: 0.00 μB per formula unit
* calculated total energy: -1.66 eV per atom
* calculated volume: 23.92 A^3/atom
* formation enthalpy at 0 K: 7 kJ per mole of atoms
* distance to the lowest polymorph of the same formula: 0 meV per atom

abc: 4.5259 6.5024 6.5024
angles: 90.88 90.00 90.00
With the nearest neighbours (Å) after each atom.
Sites, in units of the cell vectors:
Cd (0.0000, 0.0000, 0.0000)  8 Cd 3.17-3.25, 4 Tl 3.20
Cd (0.0000, 0.0000, 0.5000)  6 Tl 3.21-3.25, 6 Cd 3.24-3.25
Cd (0.0000, 0.5000, 0.0000)  6 Tl 3.21-3.25, 6 Cd 3.24-3.25
Cd (0.5000, 0.2432, 0.2432)  6 Cd 3.17-3.24, 6 Tl 3.17-3.33
Cd (0.5000, 0.7568, 0.7568)  6 Cd 3.17-3.24, 6 Tl 3.17-3.33
Tl (0.0000, 0.5000, 0.5000)  8 Cd 3.25-3.26, 4 Tl 3.27
Tl (0.5000, 0.7552, 0.2448)  10 Cd 3.17-3.33, 2 Tl 3.27
Tl (0.5000, 0.2448, 0.7552)  10 Cd 3.17-3.33, 2 Tl 3.27